Record 1
VASP calculation (GGA-PBEsol) on MgZr2As after structural relaxation.

Computed properties:
Formation enthalpy at 0 K = -0.343 eV per atom

Lattice parameters (Å, degrees): 3.3278 4.8925 4.8925 105.45 89.94 89.94
Element x y z (fractional)
Zr: 0.0000 0.5000 0.0000
Mg: 0.5000 0.0000 0.0000
As: 0.5000 0.5000 0.5000
Zr: 0.0000 0.0000 0.5000

---

Record 2
VASP calculation (GGA-PBEsol) on Mg2ZrAs after structural relaxation.

Computed properties:
Formation enthalpy at 0 K = -0.055 eV per atom

Lattice parameters (Å, degrees): 3.1317 3.1317 9.7650 80.77 80.77 60.00
Element x y z (fractional)
Mg: 0.7423 0.7423 0.7732
As: 0.0000 0.0000 0.0000
Mg: 0.2577 0.2577 0.2268
Zr: 0.5000 0.5000 0.5000

---

Record 3
VASP calculation (GGA-PBEsol) on Mg2ZrAs after structural relaxation.

Computed properties:
Formation enthalpy at 0 K = -0.322 eV per atom

Lattice parameters (Å, degrees): 3.9380 4.2281 5.4035 113.03 111.37 90.00
Element x y z (fractional)
As: 0.2528 0.7528 0.5057
Zr: 0.5089 0.5089 0.0178
Mg: 0.7512 0.2512 0.5024
Mg: 0.9871 0.9871 0.9742

---

Record 4
VASP calculation (GGA-PBEsol) on MgZrAs3 after structural relaxation.

Computed properties:
Formation enthalpy at 0 K = 0.128 eV per atom

Lattice parameters (Å, degrees): 5.1063 5.1063 5.1063 90.00 90.00 90.00
Element x y z (fractional)
As: 0.0000 0.5000 0.0000
Zr: 0.0000 0.0000 0.0000
As: 0.5000 0.0000 0.0000
Mg: 0.5000 0.5000 0.5000
As: 0.0000 0.0000 0.5000

---

Record 5
VASP calculation (GGA-PBEsol) on MgZrAs2 after structural relaxation.

Computed properties:
Formation enthalpy at 0 K = -0.669 eV per atom

Lattice parameters (Å, degrees): 3.5803 3.6868 6.7011 105.97 105.49 90.00
Element x y z (fractional)
As: 0.7144 0.2144 0.4288
As: 0.9552 0.9552 0.9104
Mg: 0.5373 0.5373 0.0745
Zr: 0.2932 0.7932 0.5863

---

Record 6
VASP calculation (GGA-PBEsol) on MgZrAs2 after structural relaxation.

Computed properties:
Formation enthalpy at 0 K = -0.810 eV per atom

Lattice parameters (Å, degrees): 3.8316 3.8316 6.7750 73.57 73.57 60.00
Element x y z (fractional)
Mg: 0.5000 0.5000 0.5000
As: 0.2510 0.2510 0.2471
Zr: 0.0000 0.0000 0.0000
As: 0.7490 0.7490 0.7529

---

Record 7
VASP calculation (GGA-PBEsol) on Mn5As4 after structural relaxation.

Computed properties:
Formation enthalpy at 0 K = -0.148 eV per atom

Lattice parameters (Å, degrees): 3.5390 6.4676 11.5389 90.00 90.00 105.88
Element x y z (fractional)
Mn: 0.2023 0.4046 0.6754
Mn: 0.4530 0.9060 0.1242
Mn: 0.6426 0.2852 0.0192
As: 0.3859 0.7718 0.7364
As: 0.3528 0.7056 0.3075
As: 0.6472 0.2944 0.8075
Mn: 0.9831 0.9663 0.2848
Mn: 0.1710 0.3420 0.3790
Mn: 0.0169 0.0337 0.7848
As: 0.7213 0.4426 0.5270
As: 0.6141 0.2282 0.2364
Mn: 0.8290 0.6580 0.8790
Mn: 0.3574 0.7148 0.5192
As: 0.2787 0.5574 0.0270
As: 0.9976 0.9951 0.4956
As: 0.0024 0.0049 0.9956
Mn: 0.5470 0.0940 0.6242
Mn: 0.7977 0.5954 0.1754

---

Record 8
VASP calculation (GGA-PBEsol) on Mn2As after structural relaxation.

Computed properties:
Formation enthalpy at 0 K = 0.105 eV per atom

Lattice parameters (Å, degrees): 2.6394 3.9094 3.9094 120.00 90.00 90.00
Element x y z (fractional)
Mn: 0.2602 0.6667 0.3333
As: 0.0000 0.0000 0.0000
Mn: 0.7398 0.3333 0.6667

---

Question: Among the records above, which one has the lowest formation enthalpy at 0 K?
Answer: number 6

---

Question: formation enthalpy at 0 K of number 6 (MgZrAs2)?
Answer: -0.810 eV per atom